No. 1
An optimized crystal structure of LiSnN. Source: Alexandria, functional GGA-PBE.

Cell: 4.1231 4.1231 6.4530 Å, 90.00 90.00 90.00°
With the nearest neighbours (Å) after each atom.
Space group I4mm (No. 107)
Inequivalent atoms, fractional coordinates:
Li1 0.0000 0.0000 0.0000 [2 per cell]  1 N 1.90
Sn1 0.0000 0.0000 0.6037 [2 per cell]  1 N 2.00
N1 0.0000 0.0000 0.2938 [2 per cell]  1 Li 1.90, 1 Sn 2.00

Summary:
DOS(E_F) (states/eV per cell): 0.70
Formation energy (no corrections) (meV/atom): 505


No. 2
An optimized crystal structure of Li2CaRu. Source: Alexandria, functional GGA-PBE.

Cell: 2.8519 4.8476 5.3361 Å, 90.00 95.87 90.00°
With the nearest neighbours (Å) after each atom.
Space group P2/m (No. 10)
Inequivalent atoms, fractional coordinates:
Li1 0.2440 0.0000 0.3065 [2 per cell]  2 Li 2.40-2.61
Ca1 0.5000 0.5000 0.0000 [1 per cell]  2 Ca 2.85, 4 Ru 2.89-3.15, 4 Li 3.05
Ru1 0.0000 0.5000 0.5000 [1 per cell]  4 Li 2.75, 2 Ru 2.85, 2 Ca 2.89

Summary:
DOS(E_F) (states/eV per cell): 3.25
Energy of formation (eV/atom): 0.2789


No. 3
An optimized crystal structure of CuPIrO2. Source: Alexandria, functional GGA-PBE.

Cell: 3.4765 3.4765 6.5131 Å, 90.00 90.00 90.00°
With the nearest neighbours (Å) after each atom.
Space group P4/mmm (No. 123)
Inequivalent atoms, fractional coordinates:
Cu1 0.0000 0.0000 0.0000 [1 per cell]  4 O 1.74
P1 0.0000 0.0000 0.5000 [1 per cell]  4 Ir 2.46
Ir1 0.5000 0.5000 0.5000 [1 per cell]  4 P 2.46
O1 0.0000 0.5000 0.0000 [2 per cell]  2 Cu 1.74

Summary:
DOS(E_F) (states/eV per cell): 4.51
Formation energy (no corrections) (meV/atom): 543


No. 4
An optimized crystal structure of ThFeGe2Os. Source: Alexandria, functional GGA-PBE.

Cell: 4.2190 4.2190 10.0193 Å, 90.00 90.00 90.00°
With the nearest neighbours (Å) after each atom.
Space group I-4m2 (No. 119)
Inequivalent atoms, fractional coordinates:
Th1 0.0000 0.0000 0.0000 [2 per cell]  8 Ge 3.26, 4 Fe 3.27, 4 Os 3.27
Fe1 0.0000 0.5000 0.7500 [2 per cell]  4 Ge 2.42
Ge1 0.0000 0.0000 0.3692 [4 per cell]  2 Fe 2.42, 2 Os 2.42, 1 Ge 2.62
Os1 0.0000 0.5000 0.2500 [2 per cell]  4 Ge 2.42

Summary:
DOS(E_F) (states/eV per cell): 8.53
Energy of formation (eV/atom): -0.4411


No. 5
An optimized crystal structure of YInBr2. Source: Alexandria, functional GGA-PBE.

Cell: 4.8283 4.8283 9.2344 Å, 90.00 90.00 90.00°
With the nearest neighbours (Å) after each atom.
Space group I4/mmm (No. 139)
Inequivalent atoms, fractional coordinates:
Y1 0.0000 0.0000 0.0000 [2 per cell]  8 Br 3.34, 4 In 3.41
In1 0.0000 0.0000 0.5000 [2 per cell]  8 Br 3.34, 4 Y 3.41
Br1 0.0000 0.5000 0.2500 [4 per cell]  4 In 3.34, 4 Y 3.34, 4 Br 3.41

Summary:
DOS(E_F) (states/eV per cell): 5.22
Formation energy (no corrections) (meV/atom): -696


No. 6
An optimized crystal structure of CdSb2Se. Source: Alexandria, functional GGA-PBE.

Cell: 6.2205 6.2205 14.5464 Å, 90.00 90.00 90.00°
With the nearest neighbours (Å) after each atom.
Space group I-42d (No. 122)
Inequivalent atoms, fractional coordinates:
Cd1 0.0000 0.0000 0.0000 [4 per cell]  4 Sb 2.88
Sb1 0.2431 0.2500 0.6250 [8 per cell]  2 Se 2.83, 2 Cd 2.88
Se1 0.0000 0.0000 0.5000 [4 per cell]  4 Sb 2.83

Summary:
DOS(E_F) (states/eV per cell): 1.24
Formation energy (no corrections) (meV/atom): 179


No. 7
An optimized crystal structure of SrLaO. Source: Alexandria, functional GGA-PBE.

Cell: 3.7880 3.7880 6.4651 Å, 90.00 90.00 120.00°
With the nearest neighbours (Å) after each atom.
Space group P3m1 (No. 156)
Inequivalent atoms, fractional coordinates:
Sr1 0.0000 0.0000 0.0000 [1 per cell]  3 O 2.68
La1 0.3333 0.6667 0.4498 [1 per cell]  3 O 2.58
O1 0.6667 0.3333 0.2387 [1 per cell]  3 La 2.58, 3 Sr 2.68

Summary:
DOS(E_F) (states/eV per cell): 1.47
Formation energy (no corrections) (meV/atom): -1633


No. 8
An optimized crystal structure of CePmFe. Source: Alexandria, functional GGA-PBE.

Cell: 3.3870 3.3870 12.7574 Å, 90.00 90.00 90.00°
With the nearest neighbours (Å) after each atom.
Space group I4mm (No. 107)
Inequivalent atoms, fractional coordinates:
Ce1 0.0000 0.0000 0.0000 [2 per cell]  4 Fe 2.79
Pm1 0.0000 0.0000 0.7416 [2 per cell]  4 Fe 3.04, 1 Ce 3.30, 4 Pm 3.39
Fe1 0.0000 0.0000 0.3882 [2 per cell]  4 Ce 2.79, 4 Pm 3.04

Summary:
DOS(E_F) (states/eV per cell): 9.53
Energy of formation (eV/atom): 0.1286


No. 9
An optimized crystal structure of LaAg2Pb. Source: Alexandria, functional GGA-PBE.

Cell: 3.4599 3.4599 30.3369 Å, 90.00 90.00 120.00°
With the nearest neighbours (Å) after each atom.
Space group R-3m (No. 166, hexagonal axes)
Inequivalent atoms, fractional coordinates:
La1 0.0000 0.0000 0.0000 [3 per cell]  6 Ag 3.27, 6 La 3.46
Ag1 0.0000 0.0000 0.2480 [6 per cell]  3 Pb 3.17, 3 La 3.27, 6 Ag 3.46
Pb1 0.0000 0.0000 0.5000 [3 per cell]  6 Ag 3.17, 6 Pb 3.46

Summary:
DOS(E_F) (states/eV per cell): 10.21
Energy of formation (eV/atom): 0.0780


No. 10
An optimized crystal structure of Cr2TcSe. Source: Alexandria, functional GGA-PBE.

Cell: 6.7474 6.7474 5.4088 Å, 90.00 90.00 90.00°
With the nearest neighbours (Å) after each atom.
Space group I-42d (No. 122)
Inequivalent atoms, fractional coordinates:
Cr1 0.2501 0.2500 0.1250 [8 per cell]  2 Se 2.48, 2 Tc 2.48, 2 Cr 2.70
Tc1 0.0000 0.0000 0.0000 [4 per cell]  4 Cr 2.48, 2 Se 2.70
Se1 0.0000 0.0000 0.5000 [4 per cell]  4 Cr 2.48, 2 Tc 2.70

Summary:
DOS(E_F) (states/eV per cell): 17.88
Formation energy (no corrections) (meV/atom): 547


No. 11
An optimized crystal structure of Pm4TeC2. Source: Alexandria, functional GGA-PBE.

Cell: 3.9569 12.8358 13.0511 Å, 90.00 90.00 90.00°
With the nearest neighbours (Å) after each atom.
Space group Cmcm (No. 63)
Inequivalent atoms, fractional coordinates:
Pm1 0.0000 0.0000 0.0000 [4 per cell]  4 C 2.77
Pm2 0.0000 0.2607 0.1039 [8 per cell]  3 C 2.49-2.59
Pm3 0.0000 0.4188 0.7500 [4 per cell]  2 C 2.60
Te1 0.0000 0.1049 0.7500 [4 per cell]  6 Pm 3.10-3.24
C1 0.0000 0.3611 0.5589 [8 per cell]  6 Pm 2.49-2.77

Summary:
DOS(E_F) (states/eV per cell): 12.84
Formation energy (no corrections) (meV/atom): -494


No. 12
An optimized crystal structure of SrTlCd2. Source: Alexandria, functional GGA-PBE.

Cell: 4.0548 22.6210 5.1141 Å, 90.00 90.00 90.00°
With the nearest neighbours (Å) after each atom.
Space group Cmcm (No. 63)
Inequivalent atoms, fractional coordinates:
Sr1 0.0000 0.1017 0.2500 [4 per cell]  4 Tl 3.53, 8 Cd 3.57-3.66
Tl1 0.0000 0.3393 0.2500 [4 per cell]  5 Cd 3.00-3.09
Cd1 0.0000 0.2641 0.7500 [4 per cell]  4 Tl 3.07-3.09, 4 Cd 3.32
Cd2 0.0000 0.4720 0.2500 [4 per cell]  2 Cd 2.85, 1 Tl 3.00

Summary:
DOS(E_F) (states/eV per cell): 9.02
Energy of formation (eV/atom): -0.2536


No. 13
An optimized crystal structure of Na2CaLa. Source: Alexandria, functional GGA-PBE.

Cell: 9.1827 9.1827 7.1471 Å, 90.00 90.00 90.00°
With the nearest neighbours (Å) after each atom.
Space group I-42d (No. 122)
Inequivalent atoms, fractional coordinates:
Na1 0.2409 0.7500 0.1250 [8 per cell]  2 Ca 3.31, 2 La 3.42, 2 Na 3.58
Ca1 0.0000 0.0000 0.0000 [4 per cell]  4 Na 3.31, 2 La 3.57
La1 0.0000 0.0000 0.5000 [4 per cell]  4 Na 3.42, 2 Ca 3.57

Summary:
DOS(E_F) (states/eV per cell): 12.98
Energy of formation (eV/atom): 0.4200


No. 14
An optimized crystal structure of TbAg2. Source: Alexandria, functional GGA-PBE.

Cell: 3.3706 5.5172 14.4958 Å, 90.00 90.00 90.00°
With the nearest neighbours (Å) after each atom.
Space group Cmcm (No. 63)
Inequivalent atoms, fractional coordinates:
Tb1 0.0000 0.1862 0.2500 [4 per cell]  6 Ag 3.12-3.19, 6 Tb 3.23-3.37
Ag1 0.0000 0.1716 0.5775 [8 per cell]  7 Ag 2.94-3.23, 3 Tb 3.12-3.19

Summary:
DOS(E_F) (states/eV per cell): 6.18
Energy of formation (eV/atom): 0.0344


No. 15
An optimized crystal structure of Cd2FeReAg. Source: Alexandria, functional GGA-PBE.

Cell: 4.9363 4.9363 4.3468 Å, 90.00 90.00 90.00°
With the nearest neighbours (Å) after each atom.
Space group P4/mmm (No. 123)
Inequivalent atoms, fractional coordinates:
Cd1 0.0000 0.5000 0.0000 [2 per cell]  2 Fe 2.47
Fe1 0.0000 0.0000 0.0000 [1 per cell]  2 Re 2.17
Re1 0.0000 0.0000 0.5000 [1 per cell]  2 Fe 2.17
Ag1 0.5000 0.5000 0.5000 [1 per cell]  8 Cd 3.29, 4 Re 3.49

Summary:
DOS(E_F) (states/eV per cell): 3.32
Energy of formation (eV/atom): 1.0382


No. 16
An optimized crystal structure of Tb4Tm8Mg. Source: Alexandria, functional GGA-PBE.

Cell: 7.0882 7.0882 28.0099 Å, 90.00 90.00 120.00°
With the nearest neighbours (Å) after each atom.
Space group R-3m (No. 166, hexagonal axes)
Inequivalent atoms, fractional coordinates:
Tb1 0.0000 0.0000 0.0000 [3 per cell]  6 Tm 3.35, 6 Tb 3.54
Tb2 0.0000 0.5000 0.0000 [9 per cell]  4 Tm 3.46, 6 Tb 3.54
Tm1 0.0000 0.0000 0.2120 [6 per cell]  9 Tm 3.61-3.73, 3 Tb 3.97
Tm2 0.0214 0.5107 0.7646 [18 per cell]  1 Mg 2.91
Mg1 0.0000 0.0000 0.5000 [3 per cell]  6 Tm 2.91

Summary:
DOS(E_F) (states/eV per cell): 52.50
Energy of formation (eV/atom): 0.2028


No. 17
An optimized crystal structure of Tb3Cd4Ag4. Source: Alexandria, functional GGA-PBE.

Cell: 3.3939 4.8159 15.6345 Å, 98.86 96.17 90.10°
With the nearest neighbours (Å) after each atom.
Space group P-1 (No. 2)
Inequivalent atoms, fractional coordinates:
Tb1 0.0000 0.0000 0.0000 [1 per cell]  8 Ag 3.26-3.27, 4 Cd 3.31, 2 Tb 3.39
Tb2 0.1401 0.6390 0.2792 [2 per cell]  6 Ag 3.24-3.35, 6 Cd 3.28-3.39, 2 Tb 3.39
Cd1 0.2647 0.2648 0.5295 [2 per cell]  4 Ag 2.88-3.01, 4 Cd 3.08
Cd2 0.4072 0.9080 0.8150 [2 per cell]  3 Ag 2.80
Ag1 0.3159 0.8165 0.6325 [2 per cell]  5 Cd 2.80-3.01
Ag2 0.4542 0.4545 0.9085 [2 per cell]  2 Cd 2.80, 1 Ag 2.81

Summary:
DOS(E_F) (states/eV per cell): 6.70
Energy of formation (eV/atom): -0.2455


No. 18
An optimized crystal structure of LiCrOs2. Source: Alexandria, functional GGA-PBE.

Cell: 5.9568 5.9568 5.9568 Å, 90.00 90.00 90.00°
With the nearest neighbours (Å) after each atom.
Space group F-43m (No. 216)
Inequivalent atoms, fractional coordinates:
Li1 0.0000 0.0000 0.0000 [4 per cell]  4 Cr 2.58, 4 Os 2.58
Cr1 0.2500 0.2500 0.2500 [4 per cell]  4 Li 2.58, 4 Os 2.58
Os1 0.0000 0.0000 0.5000 [4 per cell]  4 Cr 2.58, 4 Os 2.58
Os2 0.2500 0.2500 0.7500 [4 per cell]  4 Li 2.58, 4 Os 2.58

Summary:
DOS(E_F) (states/eV per cell): 14.59
Energy of formation (eV/atom): 0.2713